# Rb2CoPtO4 (GGA+U, relaxed)
data_Rb2CoPtO4
_chemical_formula_sum 'Rb2 Co1 Pt1 O4'
_cell_length_a 5.7847
_cell_length_b 6.3698
_cell_length_c 6.3698
_cell_angle_alpha 43.33
_cell_angle_beta 90.00
_cell_angle_gamma 90.00
_symmetry_space_group_name_H-M 'P 1'
_symmetry_Int_Tables_number 1
loop_
_symmetry_equiv_pos_as_xyz
'x,y,z'
loop_
_atom_site_label
_atom_site_fract_x
_atom_site_fract_y
_atom_site_fract_z
_atom_site_occupancy
Rb1 0.0000 0.0000 0.0000 1
Rb2 0.5000 0.3877 0.3877 1
Co1 0.0000 0.6943 0.6943 1
Pt1 0.5000 0.6889 0.6889 1
O1 0.2273 0.5866 0.5866 1
O2 0.2359 0.7969 0.7969 1
O3 0.7641 0.7969 0.7969 1
O4 0.7727 0.5866 0.5866 1
# Total magnetization   0.3454 μB per atom
# SG   No. 38
# Calculated density   5.041 g/cm3
# Total DFT energy (no corrections)   -5.1316 eV per atom